No. 1
Entry from the Alexandria database: an optimized crystal structure of ScBiAsBr2 (PBE-GGA).

Lattice parameters (Å, degrees): 5.0963 5.0963 5.6887 90.00 90.00 90.00
Each line ends with the local moment (μB).
Element x y z (fractional)
Br1 0.5000 0.0000 0.0000  0.02
Br2 0.0000 0.5000 0.0000  0.02
Bi1 0.5000 0.5000 0.5000  0.69
Sc1 0.0000 0.0000 0.0000  0.03
As1 0.0000 0.0000 0.5000  -0.07

## Properties
Relative energy among the computed polymorphs in meV/atom: 0
Formation energy without anion corrections in meV/atom: -471

***

No. 2
Entry from the Alexandria database: an optimized crystal structure of ScBiAs2Br (PBE-GGA).

Lattice parameters (Å, degrees): 5.2769 5.2769 5.0182 90.00 90.00 90.00
Element x y z (fractional)
As1 0.5000 0.0000 0.0000
As2 0.0000 0.5000 0.0000
Br1 0.0000 0.0000 0.5000
Sc1 0.0000 0.0000 0.0000
Bi1 0.5000 0.5000 0.5000

## Properties
Relative energy among the computed polymorphs in meV/atom: 0
Formation energy without anion corrections in meV/atom: -124

***

No. 3
Entry from the Alexandria database: an optimized crystal structure of ScBiAsBr2 (PBE-GGA).

Lattice parameters (Å, degrees): 5.6132 5.6132 5.5955 90.00 90.00 90.00
Each line ends with the local moment (μB).
Element x y z (fractional)
Sc1 0.5000 0.5000 0.5000  0.89
As1 0.0000 0.0000 0.5000  -0.06
Br1 0.5000 0.0000 0.0000  -0.01
Br2 0.0000 0.5000 0.0000  -0.01
Bi1 0.0000 0.0000 0.0000  0.04

## Properties
Relative energy among the computed polymorphs in meV/atom: 731
Formation energy without anion corrections in meV/atom: 261

***

No. 4
Entry from the Alexandria database: an optimized crystal structure of BiAs2SeBr (PBE-GGA).

Lattice parameters (Å, degrees): 5.1916 5.1916 5.0384 90.00 90.00 90.00
Element x y z (fractional)
Bi1 0.5000 0.5000 0.5000
As1 0.0000 0.5000 0.0000
As2 0.5000 0.0000 0.0000
Se1 0.0000 0.0000 0.0000
Br1 0.0000 0.0000 0.5000

## Properties
Relative energy among the computed polymorphs in meV/atom: 0
Formation energy without anion corrections in meV/atom: 564

***

No. 5
Entry from the Alexandria database: an optimized crystal structure of BiAsSeBr2 (PBE-GGA).

Lattice parameters (Å, degrees): 5.5623 5.5623 5.9870 90.00 90.00 90.00
Each line ends with the local moment (μB).
Element x y z (fractional)
As1 0.0000 0.0000 0.5000  0.52
Br1 0.0000 0.5000 0.0000  0.04
Br2 0.5000 0.0000 0.0000  0.04
Se1 0.5000 0.5000 0.5000  0.57
Bi1 0.0000 0.0000 0.0000  0.02

## Properties
Relative energy among the computed polymorphs in meV/atom: 323
Formation energy without anion corrections in meV/atom: 488

***

No. 6
Entry from the Alexandria database: an optimized crystal structure of BiAsSeBr2 (PBE-GGA).

Lattice parameters (Å, degrees): 5.1643 5.1643 5.4397 90.00 90.00 90.00
Element x y z (fractional)
Br1 0.0000 0.5000 0.0000
Br2 0.5000 0.0000 0.0000
As1 0.0000 0.0000 0.5000
Bi1 0.5000 0.5000 0.5000
Se1 0.0000 0.0000 0.0000

## Properties
Relative energy among the computed polymorphs in meV/atom: 266
Formation energy without anion corrections in meV/atom: 431

***

No. 7
Entry from the Alexandria database: an optimized crystal structure of BiAsSe2Br (PBE-GGA).

Lattice parameters (Å, degrees): 5.1685 5.1685 5.0660 90.00 90.00 90.00
Element x y z (fractional)
As1 0.0000 0.0000 0.0000
Se1 0.0000 0.5000 0.0000
Se2 0.5000 0.0000 0.0000
Bi1 0.5000 0.5000 0.5000
Br1 0.0000 0.0000 0.5000

## Properties
Relative energy among the computed polymorphs in meV/atom: 0
Formation energy without anion corrections in meV/atom: 206

***

No. 8
Entry from the Alexandria database: an optimized crystal structure of BiAs2SeBr (PBE-GGA).

Lattice parameters (Å, degrees): 5.6664 5.6664 5.4214 90.00 90.00 90.00
Each line ends with the local moment (μB).
Element x y z (fractional)
Br1 0.5000 0.5000 0.5000  0.14
Se1 0.0000 0.0000 0.5000  -0.14
As1 0.0000 0.5000 0.0000  0.53
As2 0.5000 0.0000 0.0000  0.53
Bi1 0.0000 0.0000 0.0000  0.01

## Properties
Relative energy among the computed polymorphs in meV/atom: 340
Formation energy without anion corrections in meV/atom: 904

***

No. 9
Entry from the Alexandria database: an optimized crystal structure of BiAsSeBr2 (PBE-GGA).

Lattice parameters (Å, degrees): 5.1661 5.1661 5.3657 90.00 90.00 90.00
Element x y z (fractional)
Bi1 0.5000 0.5000 0.5000
As1 0.0000 0.0000 0.0000
Br1 0.0000 0.5000 0.0000
Br2 0.5000 0.0000 0.0000
Se1 0.0000 0.0000 0.5000

## Properties
Relative energy among the computed polymorphs in meV/atom: 0
Formation energy without anion corrections in meV/atom: 165

***

No. 10
Entry from the Alexandria database: an optimized crystal structure of BiAs2SeBr (PBE-GGA).

Lattice parameters (Å, degrees): 5.6097 5.6097 5.4687 90.00 90.00 90.00
Each line ends with the local moment (μB).
Element x y z (fractional)
As1 0.5000 0.0000 0.0000  0.35
As2 0.0000 0.5000 0.0000  0.35
Se1 0.5000 0.5000 0.5000  -0.33
Br1 0.0000 0.0000 0.5000  0.03
Bi1 0.0000 0.0000 0.0000  -0.03

## Properties
Relative energy among the computed polymorphs in meV/atom: 343
Formation energy without anion corrections in meV/atom: 906

***

No. 11
Entry from the Alexandria database: an optimized crystal structure of BiAsSeBr2 (PBE-GGA).

Lattice parameters (Å, degrees): 5.6369 5.6369 5.8091 90.00 90.00 90.00
Each line ends with the local moment (μB).
Element x y z (fractional)
Se1 0.0000 0.0000 0.5000  -0.24
As1 0.5000 0.5000 0.5000  1.04
Br1 0.0000 0.5000 0.0000  0.03
Br2 0.5000 0.0000 0.0000  0.03
Bi1 0.0000 0.0000 0.0000  0.03

## Properties
Relative energy among the computed polymorphs in meV/atom: 172
Formation energy without anion corrections in meV/atom: 338

***

No. 12
Entry from the Alexandria database: an optimized crystal structure of BiAsSe2Br (PBE-GGA).

Lattice parameters (Å, degrees): 5.4323 5.4323 5.8417 90.00 90.00 90.00
Each line ends with the local moment (μB).
Element x y z (fractional)
Br1 0.5000 0.5000 0.5000  -0.11
As1 0.0000 0.0000 0.5000  0.51
Bi1 0.0000 0.0000 0.0000  0.01
Se1 0.0000 0.5000 0.0000  -0.14
Se2 0.5000 0.0000 0.0000  -0.14

## Properties
Relative energy among the computed polymorphs in meV/atom: 544
Formation energy without anion corrections in meV/atom: 750

***

No. 13
Entry from the Alexandria database: an optimized crystal structure of BiAs2SeBr (PBE-GGA).

Lattice parameters (Å, degrees): 5.1266 5.1266 5.2002 90.00 90.00 90.00
Element x y z (fractional)
Bi1 0.5000 0.5000 0.5000
As1 0.0000 0.5000 0.0000
As2 0.5000 0.0000 0.0000
Br1 0.0000 0.0000 0.0000
Se1 0.0000 0.0000 0.5000

## Properties
Relative energy among the computed polymorphs in meV/atom: 331
Formation energy without anion corrections in meV/atom: 895

***

No. 14
Entry from the Alexandria database: an optimized crystal structure of BiAsSe2Br (PBE-GGA).

Lattice parameters (Å, degrees): 5.2045 5.2045 5.1122 90.00 90.00 90.00
Element x y z (fractional)
As1 0.0000 0.0000 0.5000
Br1 0.0000 0.0000 0.0000
Bi1 0.5000 0.5000 0.5000
Se1 0.5000 0.0000 0.0000
Se2 0.0000 0.5000 0.0000

## Properties
Relative energy among the computed polymorphs in meV/atom: 611
Formation energy without anion corrections in meV/atom: 817

***

No. 15
Entry from the Alexandria database: an optimized crystal structure of BiAsSe2Br (PBE-GGA).

Lattice parameters (Å, degrees): 5.6064 5.6064 5.5645 90.00 90.00 90.00
Each line ends with the local moment (μB).
Element x y z (fractional)
Br1 0.0000 0.0000 0.5000  0.03
Bi1 0.0000 0.0000 0.0000  0.01
As1 0.5000 0.5000 0.5000  0.89
Se1 0.0000 0.5000 0.0000  -0.27
Se2 0.5000 0.0000 0.0000  -0.27

## Properties
Relative energy among the computed polymorphs in meV/atom: 393
Formation energy without anion corrections in meV/atom: 599

***

No. 16
Entry from the Alexandria database: an optimized crystal structure of BiAs2SeBr (PBE-GGA).

Lattice parameters (Å, degrees): 4.9998 6.0006 4.9998 90.00 90.00 90.00
Element x y z (fractional)
As1 0.0000 0.0000 0.5000
As2 0.5000 0.0000 0.0000
Br1 0.0000 0.0000 0.0000
Se1 0.5000 0.5000 0.5000
Bi1 0.0000 0.5000 0.0000

## Properties
Relative energy among the computed polymorphs in meV/atom: 564
Formation energy without anion corrections in meV/atom: 1127

***

No. 17
Entry from the Alexandria database: an optimized crystal structure of SiBiAs2Br (PBE-GGA).

Lattice parameters (Å, degrees): 4.9734 4.9734 4.8868 90.00 90.00 90.00
Element x y z (fractional)
As1 0.0000 0.5000 0.0000
As2 0.5000 0.0000 0.0000
Br1 0.0000 0.0000 0.5000
Si1 0.0000 0.0000 0.0000
Bi1 0.5000 0.5000 0.5000

## Properties
Relative energy among the computed polymorphs in meV/atom: 0
Formation energy without anion corrections in meV/atom: 388

***

No. 18
Entry from the Alexandria database: an optimized crystal structure of SiBiAs2Br (PBE-GGA).

Lattice parameters (Å, degrees): 5.5015 5.5015 5.5238 90.00 90.00 90.00
Each line ends with the local moment (μB).
Element x y z (fractional)
As1 0.0000 0.5000 0.0000  0.10
As2 0.5000 0.0000 0.0000  0.10
Br1 0.0000 0.0000 0.5000  0.01
Bi1 0.0000 0.0000 0.0000  0.00
Si1 0.5000 0.5000 0.5000  -0.06

## Properties
Relative energy among the computed polymorphs in meV/atom: 691
Formation energy without anion corrections in meV/atom: 1079

***

No. 19
Entry from the Alexandria database: an optimized crystal structure of Sm3BiAsBr (PBE-GGA).

Lattice parameters (Å, degrees): 4.3044 8.9110 9.7705 101.14 90.00 90.00
Each line ends with the local moment (μB).
Element x y z (fractional)
Sm1 0.2500 0.1162 0.8659  -0.01
Sm2 0.7500 0.3250 0.5268  0.12
Sm3 0.7500 0.4223 0.1498  0.02
Sm4 0.7500 0.8838 0.1341  -0.01
Sm5 0.2500 0.5777 0.8502  0.02
Sm6 0.2500 0.6750 0.4732  0.12
Bi1 0.7500 0.8277 0.7871  0.00
Bi2 0.2500 0.1723 0.2129  0.00
As1 0.7500 0.3477 0.8471  0.00
As2 0.2500 0.6523 0.1529  0.00
Br1 0.7500 0.8759 0.4250  0.00
Br2 0.2500 0.1241 0.5750  0.00

## Properties
Formation energy without anion corrections in meV/atom: -1082

***

No. 20
Entry from the Alexandria database: an optimized crystal structure of SnBiAsBr2 (PBE-GGA).

Lattice parameters (Å, degrees): 5.6264 5.6264 5.6587 90.00 90.00 90.00
Element x y z (fractional)
Bi1 0.0000 0.0000 0.0000
Br1 0.0000 0.5000 0.0000
Br2 0.5000 0.0000 0.0000
Sn1 0.5000 0.5000 0.5000
As1 0.0000 0.0000 0.5000

## Properties
Formation energy without anion corrections in meV/atom: 223

***

No. 21
Entry from the Alexandria database: an optimized crystal structure of Sr4BiAsBr2 (PBE-GGA).

Lattice parameters (Å, degrees): 4.7132 8.0006 8.2094 69.89 90.00 90.00
Element x y z (fractional)
Br1 0.0000 0.0000 0.0000
Br2 0.5000 0.0000 0.5000
Sr1 0.0000 0.2783 0.2551
Sr2 0.5000 0.7171 0.2717
Sr3 0.5000 0.2829 0.7283
Sr4 0.0000 0.7217 0.7449
As1 0.0000 0.5000 0.5000
Bi1 0.5000 0.5000 0.0000

## Properties
Formation energy without anion corrections in meV/atom: -1449

***

No. 22
Entry from the Alexandria database: an optimized crystal structure of Sr2BiAsBr (PBE-GGA).

Lattice parameters (Å, degrees): 6.3959 5.3891 6.3959 90.00 90.00 90.00
Element x y z (fractional)
Sr1 0.0000 0.0000 0.5000
Sr2 0.5000 0.0000 0.0000
Bi1 0.0000 0.0000 0.0000
Br1 0.5000 0.5000 0.5000
As1 0.0000 0.5000 0.0000

## Properties
Formation energy without anion corrections in meV/atom: -430

***

No. 23
Entry from the Alexandria database: an optimized crystal structure of TaBiAs2Br (PBE-GGA).

Lattice parameters (Å, degrees): 5.4101 5.4101 5.3933 90.00 90.00 90.00
Each line ends with the local moment (μB).
Element x y z (fractional)
Ta1 0.5000 0.5000 0.5000  2.00
As1 0.0000 0.5000 0.0000  -0.21
As2 0.5000 0.0000 0.0000  -0.21
Bi1 0.0000 0.0000 0.0000  0.03
Br1 0.0000 0.0000 0.5000  -0.03

## Properties
Relative energy among the computed polymorphs in meV/atom: 1265
Formation energy without anion corrections in meV/atom: 1530

***

No. 24
Entry from the Alexandria database: an optimized crystal structure of TaBiAsBr2 (PBE-GGA).

Lattice parameters (Å, degrees): 5.5242 5.5242 5.6784 90.00 90.00 90.00
Each line ends with the local moment (μB).
Element x y z (fractional)
Bi1 0.0000 0.0000 0.0000  0.04
Br1 0.0000 0.5000 0.0000  0.01
Br2 0.5000 0.0000 0.0000  0.01
Ta1 0.5000 0.5000 0.5000  2.30
As1 0.0000 0.0000 0.5000  -0.18

## Properties
Relative energy among the computed polymorphs in meV/atom: 1005
Formation energy without anion corrections in meV/atom: 1254

***

No. 25
Entry from the Alexandria database: an optimized crystal structure of Ta2BiAsBr (PBE-GGA).

Lattice parameters (Å, degrees): 4.8831 5.6461 4.8831 90.00 90.00 90.00
Each line ends with the local moment (μB).
Element x y z (fractional)
As1 0.0000 0.0000 0.0000  0.00
Ta1 0.0000 0.0000 0.5000  0.45
Ta2 0.5000 0.0000 0.0000  0.38
Br1 0.5000 0.5000 0.5000  0.07
Bi1 0.0000 0.5000 0.0000  -0.05

## Properties
Formation energy without anion corrections in meV/atom: 1177

***

No. 26
Entry from the Alexandria database: an optimized crystal structure of TaBiAs2Br (PBE-GGA).

Lattice parameters (Å, degrees): 5.1252 5.1252 4.9979 90.00 90.00 90.00
Element x y z (fractional)
Bi1 0.5000 0.5000 0.5000
As1 0.0000 0.5000 0.0000
As2 0.5000 0.0000 0.0000
Ta1 0.0000 0.0000 0.0000
Br1 0.0000 0.0000 0.5000

## Properties
Relative energy among the computed polymorphs in meV/atom: 0
Formation energy without anion corrections in meV/atom: 265

***

No. 27
Entry from the Alexandria database: an optimized crystal structure of TaBiAsBr2 (PBE-GGA).

Lattice parameters (Å, degrees): 5.0601 5.0601 5.3026 90.00 90.00 90.00
Each line ends with the local moment (μB).
Element x y z (fractional)
Ta1 0.0000 0.0000 0.0000  0.22
Bi1 0.5000 0.5000 0.5000  0.69
Br1 0.5000 0.0000 0.0000  0.02
Br2 0.0000 0.5000 0.0000  0.02
As1 0.0000 0.0000 0.5000  -0.04

## Properties
Relative energy among the computed polymorphs in meV/atom: 0
Formation energy without anion corrections in meV/atom: 249

***

No. 28
Entry from the Alexandria database: an optimized crystal structure of TcBiAsBr2 (PBE-GGA).

Lattice parameters (Å, degrees): 5.1162 5.1162 4.8978 90.00 90.00 90.00
Each line ends with the local moment (μB).
Element x y z (fractional)
Bi1 0.5000 0.5000 0.5000  0.21
Br1 0.0000 0.5000 0.0000  0.04
Br2 0.5000 0.0000 0.0000  0.04
Tc1 0.0000 0.0000 0.0000  1.04
As1 0.0000 0.0000 0.5000  -0.06

## Properties
Relative energy among the computed polymorphs in meV/atom: 0
Formation energy without anion corrections in meV/atom: 415